[1]
Density functional theory data (PBE-GGA) for crystalline Al2Co2Sn at its relaxed geometry.

Cell: 6.903 6.903 3.005 Å, 90.00 90.00 90.00°
Each line ends with the local moment (μB).
Sites, in units of the cell vectors:
1 Co 0.351 0.851 0.000  0.05
2 Co 0.851 0.649 0.000  0.05
3 Co 0.649 0.149 0.000  0.06
4 Co 0.149 0.351 0.000  0.05
5 Sn 0.000 0.000 0.000  0.00
6 Sn 0.500 0.500 0.000  0.00
7 Al 0.142 0.642 0.500  0.00
8 Al 0.642 0.858 0.500  0.00
9 Al 0.858 0.358 0.500  0.00
10 Al 0.358 0.142 0.500  0.00

Computed properties:
**ΔH_f (0 K)**: -195.5 meV per atom
**Space group**: P4/mbm, No. 127
**ρ**: 6739 kg/m³
**Total DFT energy (no corrections)**: -53.355 eV for the cell shown
**Offset from the most stable computed form**: 0.0 meV/atom

---

[2]
Density functional theory data (PBE-GGA) for crystalline AlCoSn at its relaxed geometry.

Cell: 4.205 4.205 11.739 Å, 90.00 90.00 90.00°
Sites, in units of the cell vectors:
1 Co 0.000 0.000 0.610
2 Co 0.000 0.000 0.390
3 Co 0.500 0.500 0.110
4 Co 0.500 0.500 0.890
5 Sn 0.000 0.500 0.250
6 Sn 0.000 0.500 0.750
7 Sn 0.500 0.000 0.750
8 Sn 0.500 0.000 0.250
9 Al 0.000 0.500 0.000
10 Al 0.500 0.000 0.000
11 Al 0.500 0.000 0.500
12 Al 0.000 0.500 0.500

Computed properties:
**ΔH_f (0 K)**: -233.2 meV per atom
**Space group**: I4/mmm, No. 139
**ρ**: 6547 kg/m³
**Total DFT energy (no corrections)**: -62.204 eV for the cell shown